Record 1
{
  "formula": "KZr2W",
  "functional": "PBE",
  "state": "optimized geometry",
  "cell": [[-0.6747, -2.7664, -1.1676], [0.0364, -0.1879, 3.0716], [-11.0345, 2.5696, 0.2881]],
  "species": ["K", "W", "Zr", "Zr"],
  "fractional_positions": [[0.5000, 0.5000, 0.2500], [0.5000, 0.5000, 0.7500], [0.0000, 0.0000, 0.9372], [0.0000, 0.0000, 0.5628]],
  "e_above_lowest_polymorph_mev_per_atom": 140.3
}

---

Record 2
{
  "formula": "KZr2W",
  "functional": "PBE",
  "state": "optimized geometry",
  "cell": [[-1.9825, -2.0818, 0.9086], [1.5830, 0.3781, 4.3205], [-5.4276, 5.8145, 1.4797]],
  "species": ["K", "W", "Zr", "Zr"],
  "fractional_positions": [[0.0000, 0.0000, 0.5210], [0.5000, 0.5000, 0.8432], [0.0000, 0.0000, 0.9668], [0.5000, 0.5000, 0.1690]],
  "e_above_lowest_polymorph_mev_per_atom": 465.3
}

---

Record 3
{
  "formula": "KZr2W",
  "functional": "PBE",
  "state": "optimized geometry",
  "cell": [[12.0763, -0.0241, -0.0141], [11.6987, 2.9963, -0.0141], [11.6987, 1.4625, 2.6152]],
  "species": ["K", "W", "Zr", "Zr"],
  "fractional_positions": [[0.2500, 0.2500, 0.2500], [0.7500, 0.7500, 0.7500], [0.0141, 0.0141, 0.0141], [0.4859, 0.4859, 0.4859]],
  "e_above_lowest_polymorph_mev_per_atom": 367.3
}

---

Record 4
{
  "formula": "KZr2W",
  "functional": "PBE",
  "state": "optimized geometry",
  "cell": [[-1.6506, -2.3466, -0.3661], [0.9455, -1.0583, 2.5201], [-8.6218, 5.2180, 5.4260]],
  "species": ["K", "W", "Zr", "Zr"],
  "fractional_positions": [[0.0000, 0.0000, 0.5193], [0.5000, 0.5000, 0.7845], [0.0000, 0.0000, 0.9872], [0.5000, 0.5000, 0.2091]],
  "e_above_lowest_polymorph_mev_per_atom": 427.4
}

---

Record 5
{
  "formula": "KY2",
  "functional": "PBE",
  "state": "optimized geometry",
  "cell": [[-8.1774, 3.4874, -5.2661], [7.1743, -6.4707, 3.6637], [-3.7983, -1.3948, 4.9745]],
  "species": ["K", "K", "Y", "Y", "Y", "Y"],
  "fractional_positions": [[0.6152, 0.3848, 0.7500], [0.3848, 0.6152, 0.2500], [0.9423, 0.0577, 0.7500], [0.2851, 0.7149, 0.7500], [0.7149, 0.2851, 0.2500], [0.0577, 0.9423, 0.2500]]
}

---

Record 6
{
  "formula": "KY3",
  "functional": "PBE",
  "state": "optimized geometry",
  "cell": [[13.2292, 0.0010, 0.0006], [12.7324, 3.5914, 0.0006], [12.7324, 1.7618, 3.1295]],
  "species": ["K", "Y", "Y", "Y"],
  "fractional_positions": [[0.0000, 0.0000, 0.0000], [0.7611, 0.7611, 0.7611], [0.5000, 0.5000, 0.5000], [0.2389, 0.2389, 0.2389]]
}

---

Formation energy from the elements (meV per atom)
508, 834, 735, 796, 542, 218